# 1
Tb3DyOs | the Alexandria database | GGA-PBE | optimized geometry; total moment = 0.0 μB/cell; DFT formation energy = -0.1484 eV/atom; crystal system = monoclinic; relative energy among the computed polymorphs = 0.000 eV/atom; space group = C2/m, No. 12; final energy = -0.224 hartree per atom
1.0
6.7081 -0.1044 -2.8632
-3.3074 6.0837 -2.2928
0.0492 0.0871 7.2999
Tb Os Dy
6 2 2
direct
0.7579 0.5562 0.7038 Tb
0.8525 0.0541 0.2962 Tb
0.2968 0.5547 0.8516 Tb
0.2421 0.4438 0.2962 Tb
0.1475 0.9459 0.7038 Tb
0.7032 0.4453 0.1484 Tb
0.3762 0.2497 0.6259 Os
0.6238 0.7503 0.3741 Os
0.2990 0.9448 0.2439 Dy
0.7010 0.0552 0.7561 Dy

---

# 2
TbDy2Os | the Alexandria database | GGA-PBE | optimized geometry; total moment = 0.0 μB/cell; DFT formation energy = -0.2322 eV/atom; crystal system = orthorhombic; relative energy among the computed polymorphs = 0.019 eV/atom; space group = Cmcm, No. 63; final energy = -0.239 hartree per atom
1.0
3.9862 0.0006 0.0000
-1.9919 5.9503 0.0000
0.0000 0.0000 9.0154
Dy Tb Os
4 2 2
direct
0.6449 0.2898 0.4337 Dy
0.6449 0.2898 0.0663 Dy
0.3551 0.7102 0.9337 Dy
0.3551 0.7102 0.5663 Dy
0.9247 0.8492 0.2500 Tb
0.0753 0.1508 0.7500 Tb
0.2579 0.5157 0.2500 Os
0.7421 0.4843 0.7500 Os

---

# 3
Tb2DyOs | the Alexandria database | GGA-PBE | optimized geometry; total moment = 0.0 μB/cell; DFT formation energy = -0.2437 eV/atom; crystal system = orthorhombic; relative energy among the computed polymorphs = 0.000 eV/atom; space group = Pnma, No. 62; final energy = -0.239 hartree per atom
1.0
-2.9273 -4.4434 -3.4695
-0.0680 -4.5269 5.8551
-8.0961 3.3716 2.5128
Dy Os Tb
4 4 8
direct
0.6311 0.5401 0.2500 Dy
0.3689 0.4599 0.7500 Dy
0.8689 0.0401 0.2500 Dy
0.1311 0.9599 0.7500 Dy
0.5387 0.1162 0.7500 Os
0.4613 0.8838 0.2500 Os
0.0387 0.3838 0.2500 Os
0.9613 0.6162 0.7500 Os
0.3314 0.1749 0.0632 Tb
0.1686 0.6749 0.4368 Tb
0.1686 0.6749 0.0632 Tb
0.6686 0.8251 0.5632 Tb
0.6686 0.8251 0.9368 Tb
0.8314 0.3251 0.9368 Tb
0.8314 0.3251 0.5632 Tb
0.3314 0.1749 0.4368 Tb

---

# 4
Tb2DyOs | the Alexandria database | GGA-PBE | optimized geometry; total moment = 0.0 μB/cell; DFT formation energy = -0.2246 eV/atom; crystal system = orthorhombic; relative energy among the computed polymorphs = 0.019 eV/atom; space group = Cmcm, No. 63; final energy = -0.239 hartree per atom
1.0
4.0022 0.0003 0.0000
-2.0003 5.9395 0.0000
0.0000 0.0000 9.0325
Tb Dy Os
4 2 2
direct
0.3558 0.7116 0.9338 Tb
0.3558 0.7116 0.5662 Tb
0.6442 0.2884 0.4338 Tb
0.6442 0.2884 0.0662 Tb
0.9240 0.8480 0.2500 Dy
0.0760 0.1520 0.7500 Dy
0.2585 0.5171 0.2500 Os
0.7415 0.4829 0.7500 Os

---

# 5
Tb2DyOs | the Alexandria database | GGA-PBE | optimized geometry; total moment = 0.0 μB/cell; DFT formation energy = -0.0769 eV/atom; crystal system = tetragonal; relative energy among the computed polymorphs = 0.167 eV/atom; space group = P4/mmm, No. 123; final energy = -0.233 hartree per atom
1.0
-1.7480 0.4062 -2.8928
-2.9171 -0.4213 1.7035
-0.4233 9.1752 1.5443
Tb Dy Os
2 1 1
direct
0.0000 0.0000 0.1800 Tb
0.0000 0.0000 0.8200 Tb
0.5000 0.5000 0.5000 Dy
0.5000 0.5000 0.0000 Os

---

# 6
Tb2DyOs | the Alexandria database | GGA-PBE | optimized geometry; total moment = 0.3 μB/cell; DFT formation energy = 0.2923 eV/atom; crystal system = trigonal; relative energy among the computed polymorphs = 0.536 eV/atom; space group = R-3m, No. 166; final energy = -0.220 hartree per atom
1.0
-2.8183 1.9361 0.5277
-2.4223 -1.0449 2.2384
3.3751 5.5712 8.9268
Tb Os Dy
2 1 1
direct
0.1055 0.1055 0.6835 Tb
0.8945 0.8945 0.3165 Tb
0.5000 0.5000 0.5000 Os
0.0000 0.0000 0.0000 Dy

---

# 7
TbDy3Os | the Alexandria database | GGA-PBE | optimized geometry; total moment = 0.0 μB/cell; DFT formation energy = 0.0325 eV/atom; crystal system = cubic; space group = Pm-3m, No. 221; final energy = -0.217 hartree per atom
1.0
-1.1393 -3.8548 -3.6411
5.1514 0.0783 -1.6947
1.2571 -3.8144 3.6449
Tb Os Dy
1 1 3
direct
0.5000 0.5000 0.5000 Tb
0.0000 0.0000 0.0000 Os
0.0000 0.5000 0.0000 Dy
0.5000 0.0000 0.0000 Dy
0.0000 0.0000 0.5000 Dy

---

# 8
TbDy2Os | the Alexandria database | GGA-PBE | optimized geometry; total moment = 0.0 μB/cell; DFT formation energy = 0.2747 eV/atom; crystal system = trigonal; relative energy among the computed polymorphs = 0.526 eV/atom; space group = R-3m, No. 166; final energy = -0.220 hartree per atom
1.0
-2.8313 -0.2033 1.9497
0.2474 -0.9460 3.3020
0.3815 10.0327 4.6414
Tb Dy Os
1 2 1
direct
0.0000 0.0000 0.0000 Tb
0.1056 0.1056 0.6831 Dy
0.8944 0.8944 0.3169 Dy
0.5000 0.5000 0.5000 Os

---

# 9
Tb4DyOs2 | the Alexandria database | GGA-PBE | optimized geometry; total moment = 0.0 μB/cell; DFT formation energy = -0.1481 eV/atom; crystal system = monoclinic; space group = P2_1/m, No. 11; final energy = -0.245 hartree per atom
1.0
-5.4300 2.7845 -1.6547
1.2806 -1.9890 -7.5495
-4.0122 -5.5120 3.8909
Os Tb Dy
4 8 2
direct
0.7500 0.7462 0.0239 Os
0.7500 0.3765 0.4125 Os
0.2500 0.6235 0.5875 Os
0.2500 0.2538 0.9761 Os
0.4983 0.5819 0.2395 Tb
0.5017 0.4181 0.7605 Tb
0.7500 0.7527 0.6758 Tb
0.2500 0.2473 0.3242 Tb
0.7500 0.0207 0.3785 Tb
0.9983 0.4181 0.7605 Tb
0.0017 0.5819 0.2395 Tb
0.2500 0.9793 0.6215 Tb
0.2500 0.8402 0.9709 Dy
0.7500 0.1598 0.0291 Dy

---

# 10
TbDy2Os | the Alexandria database | GGA-PBE | optimized geometry; total moment = 0.0 μB/cell; DFT formation energy = -0.2515 eV/atom; crystal system = orthorhombic; relative energy among the computed polymorphs = 0.000 eV/atom; space group = Pnma, No. 62; final energy = -0.240 hartree per atom
1.0
-2.7599 2.8661 4.9395
5.0269 -2.9844 4.5405
5.3681 7.2261 -1.1935
Dy Tb Os
8 4 4
direct
0.3327 0.1746 0.0633 Dy
0.6673 0.8254 0.9367 Dy
0.8327 0.3254 0.5633 Dy
0.3327 0.1746 0.4367 Dy
0.1673 0.6746 0.0633 Dy
0.6673 0.8254 0.5633 Dy
0.1673 0.6746 0.4367 Dy
0.8327 0.3254 0.9367 Dy
0.6296 0.5396 0.2500 Tb
0.8704 0.0396 0.2500 Tb
0.1296 0.9604 0.7500 Tb
0.3704 0.4604 0.7500 Tb
0.5408 0.1164 0.7500 Os
0.4592 0.8836 0.2500 Os
0.0408 0.3836 0.2500 Os
0.9592 0.6164 0.7500 Os

---

# 11
Tb2Dy3Os2 | the Alexandria database | GGA-PBE | optimized geometry; total moment = 0.0 μB/cell; DFT formation energy = -0.2367 eV/atom; crystal system = monoclinic; space group = C2/m, No. 12; final energy = -0.248 hartree per atom
1.0
3.9646 0.0000 0.0000
-1.9823 5.9671 -0.1800
0.0000 -2.9928 7.7644
Os Dy Tb
2 3 2
direct
0.8225 0.6451 0.7837 Os
0.1775 0.3549 0.2163 Os
0.3751 0.7503 0.5700 Dy
0.5000 0.0000 0.0000 Dy
0.6249 0.2497 0.4300 Dy
0.1652 0.3304 0.8137 Tb
0.8348 0.6696 0.1863 Tb

---

# 12
Tb3DyOs | the Alexandria database | GGA-PBE | optimized geometry; total moment = 0.0 μB/cell; DFT formation energy = -0.0533 eV/atom; crystal system = orthorhombic; relative energy among the computed polymorphs = 0.095 eV/atom; space group = Pmn2_1, No. 31; final energy = -0.220 hartree per atom
1.0
-0.8149 -4.1965 4.5680
5.8017 -2.5106 -1.2709
3.2120 4.8695 5.0467
Tb Dy Os
6 2 2
direct
0.9256 0.4952 0.9508 Tb
0.4226 0.3350 0.2009 Tb
0.4255 0.8575 0.9507 Tb
0.9226 0.0178 0.7007 Tb
0.4255 0.8575 0.4508 Tb
0.9255 0.4952 0.4507 Tb
0.4287 0.3356 0.7009 Dy
0.9286 0.0172 0.2007 Dy
0.6758 0.6770 0.2007 Os
0.1758 0.6758 0.7007 Os